Density functional theory data (PBE) for an optimized crystal structure of ThAlTcRu.

a b c (Å): 4.6681 4.6681 4.6681
angles (deg): 60.00 60.00 60.00
Atoms (fractional coordinates):
Ru1 0.5000 0.5000 0.5000
Tc1 0.0000 0.0000 0.0000
Th1 0.7500 0.7500 0.7500
Al1 0.2500 0.2500 0.2500

Properties
- SG = No. 216
- electronic total energy (eV/f.u.) = -32.00
- theoretical density (g/cm3) = 10.6
- ΔE_f (eV per atom) = -0.2986